# 1
# Pm3Pr3Zn2, relaxed, DFT GGA-PBE
data_Pm3Pr3Zn2
_chemical_formula_sum 'Pm12 Pr12 Zn8'
_symmetry_space_group_name_H-M 'C m c m'
_symmetry_Int_Tables_number 63
_symmetry_space_group_name_Hall '-C 2c 2'
_cell_length_a 5.2118
_cell_length_b 11.8196
_cell_length_c 15.7592
_cell_angle_alpha 90.00
_cell_angle_beta 90.00
_cell_angle_gamma 90.00
loop_
_atom_site_label
_atom_site_fract_x
_atom_site_fract_y
_atom_site_fract_z
Pm1 0.0000 0.0520 0.2500
Pm2 0.0000 0.1493 0.5242
Pr1 0.0000 0.2247 0.7500
Pr2 0.0000 0.4718 0.6090
Zn1 0.0000 0.2671 0.1426
# Energy of formation (kJ/mol of formula units): -58.6
# Crystal system: orthorhombic

***

# 2
# Pm3Pr2Zn3, relaxed, DFT GGA-PBE
data_Pm3Pr2Zn3
_chemical_formula_sum 'Pm6 Pr4 Zn6'
_symmetry_space_group_name_H-M 'I m m m'
_symmetry_Int_Tables_number 71
_symmetry_space_group_name_Hall '-I 2 2'
_cell_length_a 3.7402
_cell_length_b 5.3059
_cell_length_c 22.1757
_cell_angle_alpha 90.00
_cell_angle_beta 90.00
_cell_angle_gamma 90.00
loop_
_atom_site_label
_atom_site_fract_x
_atom_site_fract_y
_atom_site_fract_z
Pm1 0.0000 0.0000 0.0000
Pm2 0.0000 0.5000 0.1148
Pr1 0.0000 0.0000 0.2277
Zn1 0.0000 0.0000 0.5000
Zn2 0.0000 0.5000 0.3872
# Energy of formation (kJ/mol of formula units): -166.8
# Crystal system: orthorhombic

***

# 3
# PmPr3Zn2, relaxed, DFT GGA-PBE
data_PmPr3Zn2
_chemical_formula_sum 'Pm1 Pr3 Zn2'
_symmetry_space_group_name_H-M 'P 4/m m m'
_symmetry_Int_Tables_number 123
_symmetry_space_group_name_Hall '-P 4 2'
_cell_length_a 3.7166
_cell_length_b 3.7166
_cell_length_c 12.5648
_cell_angle_alpha 90.00
_cell_angle_beta 90.00
_cell_angle_gamma 90.00
loop_
_atom_site_label
_atom_site_fract_x
_atom_site_fract_y
_atom_site_fract_z
Pm1 0.0000 0.0000 0.0000
Pr1 0.5000 0.5000 0.2083
Pr2 0.5000 0.5000 0.5000
Zn1 0.0000 0.0000 0.3530
# Energy above the most stable polymorph in this dataset (meV per atom): 0.0
# Energy of formation (kJ/mol of formula units): -115.4
# Crystal system: tetragonal

***

# 4
# PmPr2Zn2, relaxed, DFT GGA-PBE
data_PmPr2Zn2
_chemical_formula_sum 'Pm2 Pr4 Zn4'
_symmetry_space_group_name_H-M 'P 1 21/m 1'
_symmetry_Int_Tables_number 11
_cell_length_a 4.6834
_cell_length_b 4.4430
_cell_length_c 13.6238
_cell_angle_alpha 90.00
_cell_angle_beta 99.30
_cell_angle_gamma 90.00
loop_
_symmetry_equiv_pos_as_xyz
'x,y,z'
'-x,-y,-z'
'-x,y+1/2,-z'
'x,-y+1/2,z'
loop_
_atom_site_label
_atom_site_fract_x
_atom_site_fract_y
_atom_site_fract_z
Pm1 0.1365 0.2500 0.2690
Pr1 0.2369 0.7500 0.4707
Pr2 0.4467 0.2500 0.8900
Zn1 0.0219 0.2500 0.0478
Zn2 0.3281 0.2500 0.6656
# Energy above the most stable polymorph in this dataset (meV per atom): 79.8
# Energy of formation (kJ/mol of formula units): -73.2
# Crystal system: monoclinic

***

# 5
# PmPr6Zn, relaxed, DFT GGA-PBE
data_PmPr6Zn
_chemical_formula_sum 'Pm3 Pr18 Zn3'
_symmetry_space_group_name_H-M 'R -3'
_symmetry_Int_Tables_number 148
_symmetry_space_group_name_Hall '-R 3'
_cell_length_a 9.6746
_cell_length_b 9.6746
_cell_length_c 9.9918
_cell_angle_alpha 90.00
_cell_angle_beta 90.00
_cell_angle_gamma 120.00
loop_
_atom_site_label
_atom_site_fract_x
_atom_site_fract_y
_atom_site_fract_z
Pm1 0.0000 0.0000 0.0000
Pr1 0.0313 0.7800 0.7037
Zn1 0.0000 0.0000 0.5000
# Energy of formation (kJ/mol of formula units): 15.2
# Crystal system: trigonal

***

# 6
# PmPr2Zn3, relaxed, DFT GGA-PBE
data_PmPr2Zn3
_chemical_formula_sum 'Pm1 Pr2 Zn3'
_symmetry_space_group_name_H-M 'P -3 m 1'
_symmetry_Int_Tables_number 164
_symmetry_space_group_name_Hall '-P 3 2"'
_cell_length_a 5.2188
_cell_length_b 5.2188
_cell_length_c 6.4054
_cell_angle_alpha 90.00
_cell_angle_beta 90.00
_cell_angle_gamma 120.00
loop_
_atom_site_label
_atom_site_fract_x
_atom_site_fract_y
_atom_site_fract_z
Pm1 0.0000 0.0000 0.0000
Pr1 0.3333 0.6667 0.6694
Zn1 0.0000 0.0000 0.5000
Zn2 0.3333 0.6667 0.1648
# Energy above the most stable polymorph in this dataset (meV per atom): 0.0
# Energy of formation (kJ/mol of formula units): -178.3
# Crystal system: trigonal

***

# 7
# Pm2PrZn, relaxed, DFT GGA-PBE
data_Pm2PrZn
_chemical_formula_sum 'Pm6 Pr3 Zn3'
_symmetry_space_group_name_H-M 'R 3 m'
_symmetry_Int_Tables_number 160
_symmetry_space_group_name_Hall 'R 3 -2"'
_cell_length_a 5.4977
_cell_length_b 5.4977
_cell_length_c 13.4436
_cell_angle_alpha 90.00
_cell_angle_beta 90.00
_cell_angle_gamma 120.00
loop_
_atom_site_label
_atom_site_fract_x
_atom_site_fract_y
_atom_site_fract_z
Pm1 0.0000 0.0000 0.0000
Pm2 0.0000 0.0000 0.2509
Pr1 0.0000 0.0000 0.7494
Zn1 0.0000 0.0000 0.5002
# Energy above the most stable polymorph in this dataset (meV per atom): 214.5
# Energy of formation (kJ/mol of formula units): 23.0
# Crystal system: trigonal

***

# 8
# PmPr3Zn2, relaxed, DFT GGA-PBE
data_PmPr3Zn2
_chemical_formula_sum 'Pm4 Pr12 Zn8'
_symmetry_space_group_name_H-M 'I b a m'
_symmetry_Int_Tables_number 72
_symmetry_space_group_name_Hall '-I 2 2c'
_cell_length_a 7.0636
_cell_length_b 15.0821
_cell_length_c 7.3138
_cell_angle_alpha 90.00
_cell_angle_beta 90.00
_cell_angle_gamma 90.00
loop_
_atom_site_label
_atom_site_fract_x
_atom_site_fract_y
_atom_site_fract_z
Pm1 0.0000 0.0000 0.0000
Pr1 0.0000 0.2255 0.2500
Pr2 0.0000 0.5000 0.2500
Zn1 0.2027 0.3627 0.0000
# Energy above the most stable polymorph in this dataset (meV per atom): 250.6
# Energy of formation (kJ/mol of formula units): 29.7
# Crystal system: orthorhombic

***

# 9
# Pm2PrZn, relaxed, DFT GGA-PBE
data_Pm2PrZn
_chemical_formula_sum 'Pm2 Pr1 Zn1'
_symmetry_space_group_name_H-M 'P 4/m m m'
_symmetry_Int_Tables_number 123
_symmetry_space_group_name_Hall '-P 4 2'
_cell_length_a 3.6759
_cell_length_b 3.6759
_cell_length_c 8.8525
_cell_angle_alpha 90.00
_cell_angle_beta 90.00
_cell_angle_gamma 90.00
loop_
_atom_site_label
_atom_site_fract_x
_atom_site_fract_y
_atom_site_fract_z
Pm1 0.0000 0.0000 0.2045
Pr1 0.5000 0.5000 0.5000
Zn1 0.5000 0.5000 0.0000
# Energy above the most stable polymorph in this dataset (meV per atom): 0.0
# Energy of formation (kJ/mol of formula units): -59.8
# Crystal system: tetragonal

***

# 10
# PmPr3Zn, relaxed, DFT GGA-PBE
data_PmPr3Zn
_chemical_formula_sum 'Pm4 Pr12 Zn4'
_symmetry_space_group_name_H-M 'C 1 2/m 1'
_symmetry_Int_Tables_number 12
_cell_length_a 12.1526
_cell_length_b 9.1998
_cell_length_c 8.0064
_cell_angle_alpha 90.00
_cell_angle_beta 130.90
_cell_angle_gamma 90.00
loop_
_symmetry_equiv_pos_as_xyz
'x,y,z'
'-x,-y,-z'
'-x,y,-z'
'x,-y,z'
'x+1/2,y+1/2,z'
'-x+1/2,-y+1/2,-z'
'-x+1/2,y+1/2,-z'
'x+1/2,-y+1/2,z'
loop_
_atom_site_label
_atom_site_fract_x
_atom_site_fract_y
_atom_site_fract_z
Pm1 0.0630 0.0000 0.2681
Pr1 0.0543 0.5000 0.3254
Pr2 0.2328 0.1919 0.7629
Zn1 0.2460 0.0000 0.1201
# Energy above the most stable polymorph in this dataset (meV per atom): 140.8
# Energy of formation (kJ/mol of formula units): 25.0
# Crystal system: monoclinic

***

# 11
# Pm2PrZn, relaxed, DFT GGA-PBE
data_Pm2PrZn
_chemical_formula_sum 'Pm6 Pr3 Zn3'
_symmetry_space_group_name_H-M 'R -3 m'
_symmetry_Int_Tables_number 166
_symmetry_space_group_name_Hall '-R 3 2"'
_cell_length_a 3.6743
_cell_length_b 3.6743
_cell_length_c 31.9147
_cell_angle_alpha 90.00
_cell_angle_beta 90.00
_cell_angle_gamma 120.00
loop_
_atom_site_label
_atom_site_fract_x
_atom_site_fract_y
_atom_site_fract_z
Pm1 0.0000 0.0000 0.2381
Pr1 0.0000 0.0000 0.0000
Zn1 0.0000 0.0000 0.5000
# Energy above the most stable polymorph in this dataset (meV per atom): 106.3
# Energy of formation (kJ/mol of formula units): -18.8
# Crystal system: trigonal

***

# 12
# PmPr3Zn4, relaxed, DFT GGA-PBE
data_PmPr3Zn4
_chemical_formula_sum 'Pm2 Pr6 Zn8'
_symmetry_space_group_name_H-M 'P m m a'
_symmetry_Int_Tables_number 51
_cell_length_a 10.4451
_cell_length_b 7.4225
_cell_length_c 5.2231
_cell_angle_alpha 90.00
_cell_angle_beta 90.00
_cell_angle_gamma 90.00
loop_
_symmetry_equiv_pos_as_xyz
'x,y,z'
'-x,-y,-z'
'-x+1/2,-y,z'
'x+1/2,y,-z'
'x+1/2,-y,-z'
'-x+1/2,y,z'
'-x,y,-z'
'x,-y,z'
loop_
_atom_site_label
_atom_site_fract_x
_atom_site_fract_y
_atom_site_fract_z
Pm1 0.0000 0.0000 0.0000
Pr1 0.0000 0.5000 0.0000
Pr2 0.2500 0.0000 0.4986
Pr3 0.2500 0.5000 0.4987
Zn1 0.0000 0.2473 0.5000
Zn2 0.2500 0.2473 0.9982
# Energy of formation (kJ/mol of formula units): -235.5
# Crystal system: orthorhombic